# 1
Ti2AgC: relaxed, PBE.

As for the space-group type: I-42d.

Cell lengths 6.207, 6.207, 5.482 Å; angles 55.52, 55.52, 90.00 degrees
Fractional positions:
C 0.250 0.750 0.500
Ti 0.214 0.625 0.250
Ti 0.536 0.125 0.250
C 0.500 0.500 0.000
Ag 0.750 0.250 0.500
Ag 0.000 0.000 0.000
Ti 0.375 0.464 0.750
Ti 0.875 0.786 0.750

---

# 2
Ti2AgC2: relaxed, PBE.

As for the space-group type: P4/mbm.

Cell lengths 6.734, 6.734, 2.607 Å; angles 90.00, 90.00, 90.00 degrees
Fractional positions:
C 0.845 0.345 0.500
C 0.155 0.655 0.500
Ti 0.861 0.639 0.000
Ti 0.639 0.139 0.000
C 0.345 0.155 0.500
Ti 0.139 0.361 0.000
Ti 0.361 0.861 0.000
Ag 0.000 0.000 0.000
Ag 0.500 0.500 0.000
C 0.655 0.845 0.500

---

no.,energy of formation (eV/atom),magnetic moment (μB/atom)
1,0.14,0.00
2,0.58,0.00